Computed, not measured: a relaxed structure of CaSm2Dy at the PBE level of DFT.

The structure in CIF format:
```
data_CaSm2Dy
_cell_length_a 3.644
_cell_length_b 3.644
_cell_length_c 10.471
_cell_angle_alpha 90.00
_cell_angle_beta 90.00
_cell_angle_gamma 90.00
_symmetry_space_group_name_H-M 'P 4/m m m'
_symmetry_Int_Tables_number 123
_symmetry_space_group_name_Hall '-P 4 2'
loop_
_atom_site_label
_atom_site_fract_x
_atom_site_fract_y
_atom_site_fract_z
_atom_site_occupancy
Ca1 0.000 0.000 0.000 1
Sm1 0.500 0.500 0.267 1
Dy1 0.000 0.000 0.500 1
```

Calculated values
V = 34.8 Å³ per atom
DOS(E_F) = 5.7 states/eV/f.u.
energy relative to the elements = 21 kJ/mol of formula units

Computed, not measured: a relaxed structure of Rb3Cu5I12 at the PBE level of DFT.

The structure in CIF format:
```
data_Rb3Cu5I12
_cell_length_a 18.192
_cell_length_b 18.192
_cell_length_c 18.192
_cell_angle_alpha 90.00
_cell_angle_beta 90.00
_cell_angle_gamma 90.00
_symmetry_space_group_name_H-M 'I a -3 d'
_symmetry_Int_Tables_number 230
_symmetry_space_group_name_Hall '-I 4bd 2c 3'
loop_
_atom_site_label
_atom_site_fract_x
_atom_site_fract_y
_atom_site_fract_z
_atom_site_occupancy
Rb1 0.000 0.250 0.125 1
Cu1 0.000 0.000 0.000 1
Cu2 0.000 0.250 0.375 1
I1 0.037 0.044 0.645 1
```

Calculated values
formation energy (no corrections) = -468 meV/atom
V = 37.6 Å³ per atom
DOS(E_F) = 19.7 states/eV/f.u.